A plane-wave DFT calculation with PBE was carried out for BaCaMo2 after structural relaxation.

a b c (Å): 7.2191 7.2191 7.2191
angles (deg): 90.00 90.00 90.00
Space group F-43m (No. 216)
Asymmetric unit:
Ba (0.0000, 0.0000, 0.0000) (multiplicity 4)
Ca (0.2500, 0.2500, 0.2500) (multiplicity 4)
Mo (0.0000, 0.0000, 0.5000) (multiplicity 4)
Mo (0.2500, 0.2500, 0.7500) (multiplicity 4)

Output
total moment	0.5	μB per formula unit
energy	-5.219	eV/atom
ΔH_f (0 K)	1.177	eV/atom

***

A plane-wave DFT calculation with PBE was carried out for BaCa2Mo after structural relaxation.

a b c (Å): 5.0750 5.0750 5.4940
angles (deg): 90.00 90.00 90.00
Space group P4/mmm (No. 123)
Asymmetric unit:
Ba (0.0000, 0.0000, 0.0000) (multiplicity 1)
Ca (0.0000, 0.5000, 0.5000) (multiplicity 2)
Mo (0.5000, 0.5000, 0.0000) (multiplicity 1)

Output
total moment	3.0	μB per formula unit
energy	-3.345	eV/atom
ΔH_f (0 K)	0.844	eV/atom

***

A plane-wave DFT calculation with PBE was carried out for BaCa2Mo after structural relaxation.

a b c (Å): 7.7626 7.7626 11.8946
angles (deg): 90.00 90.00 90.00
Space group I4_1/amd (No. 141, origin choice 2)
Asymmetric unit:
Ba (0.0000, 0.2500, 0.3750) (multiplicity 4)
Ca (0.0000, 0.0000, 0.0000) (multiplicity 8)
Mo (0.0000, 0.2500, 0.8750) (multiplicity 4)

Output
total moment	0.0	μB per formula unit
energy	-2.843	eV/atom
ΔH_f (0 K)	1.347	eV/atom

***

A plane-wave DFT calculation with PBE was carried out for BaCaMo2 after structural relaxation.

a b c (Å): 4.1484 4.1666 10.8659
angles (deg): 90.00 90.00 90.00
Space group Cmmm (No. 65)
Asymmetric unit:
Ba (0.0000, 0.0000, 0.0000) (multiplicity 2)
Ca (0.0000, 0.0000, 0.5000) (multiplicity 2)
Mo (0.0000, 0.5000, 0.2657) (multiplicity 4)

Output
total moment	0.0	μB per formula unit
energy	-5.187	eV/atom
ΔH_f (0 K)	1.210	eV/atom

***

A plane-wave DFT calculation with PBE was carried out for BaCaMo2 after structural relaxation.

a b c (Å): 5.8246 10.8073 2.9535
angles (deg): 90.00 93.52 90.00
Space group C2/m (No. 12)
Asymmetric unit:
Ba (0.0000, 0.0000, 0.0000) (multiplicity 2)
Ca (0.0000, 0.5000, 0.0000) (multiplicity 2)
Mo (0.2500, 0.2500, 0.5000) (multiplicity 4)

Output
total moment	0.0	μB per formula unit
energy	-5.172	eV/atom
ΔH_f (0 K)	1.225	eV/atom

***

A plane-wave DFT calculation with PBE was carried out for Ba2CaMo after structural relaxation.

a b c (Å): 3.9773 3.9773 10.2753
angles (deg): 90.00 90.00 90.00
Space group P4mm (No. 99)
Asymmetric unit:
Ba (0.0000, 0.0000, 0.0000) (multiplicity 1)
Ba (0.5000, 0.5000, 0.3468) (multiplicity 1)
Ca (0.0000, 0.0000, 0.6423) (multiplicity 1)
Mo (0.5000, 0.5000, 0.7961) (multiplicity 1)

Output
total moment	2.7	μB per formula unit
energy	-3.428	eV/atom
ΔH_f (0 K)	0.742	eV/atom

***

A plane-wave DFT calculation with PBE was carried out for BaCa2Mo after structural relaxation.

a b c (Å): 3.6733 3.6733 35.1628
angles (deg): 90.00 90.00 120.00
Space group R-3m (No. 166, hexagonal axes)
Asymmetric unit:
Ba (0.0000, 0.0000, 0.0000) (multiplicity 3)
Ca (0.0000, 0.0000, 0.2302) (multiplicity 6)
Mo (0.0000, 0.0000, 0.5000) (multiplicity 3)

Output
total moment	2.4	μB per formula unit
energy	-3.397	eV/atom
ΔH_f (0 K)	0.792	eV/atom

***

A plane-wave DFT calculation with PBE was carried out for BaCaMo2 after structural relaxation.

a b c (Å): 7.6005 7.6005 7.6005
angles (deg): 90.00 90.00 90.00
Space group Fm-3m (No. 225)
Asymmetric unit:
Ba (0.0000, 0.0000, 0.0000) (multiplicity 4)
Ca (0.0000, 0.0000, 0.5000) (multiplicity 4)
Mo (0.2500, 0.2500, 0.2500) (multiplicity 8)

Output
total moment	5.9	μB per formula unit
energy	-4.879	eV/atom
ΔH_f (0 K)	1.518	eV/atom